! ZrCo2HPt (GGA-PBE, optimized geometry); values from VASP
! VASP energy   -6.804 eV per atom
! Space group   P4/mmm, No. 123
&SYSTEM
  ibrav = 0, nat = 5, ntyp = 4
/
ATOMIC_SPECIES
Zr 91.22 Zr.upf
Co 58.93 Co.upf
Pt 195.08 Pt.upf
H 1.01 H.upf
CELL_PARAMETERS angstrom
3.932 0.000 0.000
0.000 3.932 0.000
0.000 0.000 3.818
ATOMIC_POSITIONS angstrom
Zr 1.966 1.966 1.909
Co 0.000 1.966 0.000
Co 1.966 0.000 0.000
Pt 0.000 0.000 1.909
H 0.000 0.000 0.000

! Ta2HgTe (GGA-PBE, optimized geometry); values from VASP
! VASP energy   -6.205 eV per atom
! Raw formation energy   0.582 eV/atom
! Space group   I-4m2, No. 119
&SYSTEM
  ibrav = 0, nat = 4, ntyp = 3
/
ATOMIC_SPECIES
Hg 200.59 Hg.upf
Te 127.60 Te.upf
Ta 180.95 Ta.upf
CELL_PARAMETERS angstrom
-2.353 4.434 2.157
-5.355 0.424 -1.000
3.271 -3.943 1.898
ATOMIC_POSITIONS angstrom
Hg -1.468 1.460 2.317
Te -3.854 2.429 0.579
Ta 0.000 0.000 0.000
Ta -2.968 -0.545 0.738

Q: The lowest VASP energy belongs to which entry?
A: ZrCo2HPt

What did the first record say?
! ZrCo2HPt (GGA-PBE, optimized geometry); values from VASP
! VASP energy   -6.804 eV per atom
! Space group   P4/mmm, No. 123
&SYSTEM
  ibrav = 0, nat = 5, ntyp = 4
/
ATOMIC_SPECIES
Zr 91.22 Zr.upf
Co 58.93 Co.upf
Pt 195.08 Pt.upf
H 1.01 H.upf
CELL_PARAMETERS angstrom
3.932 0.000 0.000
0.000 3.932 0.000
0.000 0.000 3.818
ATOMIC_POSITIONS angstrom
Zr 1.966 1.966 1.909
Co 0.000 1.966 0.000
Co 1.966 0.000 0.000
Pt 0.000 0.000 1.909
H 0.000 0.000 0.000

What did the first record say?
! ZrCo2HPt (GGA-PBE, optimized geometry); values from VASP
! VASP energy   -6.804 eV per atom
! Space group   P4/mmm, No. 123
&SYSTEM
  ibrav = 0, nat = 5, ntyp = 4
/
ATOMIC_SPECIES
Zr 91.22 Zr.upf
Co 58.93 Co.upf
Pt 195.08 Pt.upf
H 1.01 H.upf
CELL_PARAMETERS angstrom
3.932 0.000 0.000
0.000 3.932 0.000
0.000 0.000 3.818
ATOMIC_POSITIONS angstrom
Zr 1.966 1.966 1.909
Co 0.000 1.966 0.000
Co 1.966 0.000 0.000
Pt 0.000 0.000 1.909
H 0.000 0.000 0.000

Q: What is the VASP energy in the first record?
A: -6.804 eV per atom